3
Lattice="0.000 3.209 3.209 3.209 0.000 3.209 3.209 3.209 0.000" Properties=species:S:1:pos:R:3 comment="UAlW | OQMD | PBE | optimized geometry" sg="F-43m (216)" m_tot_mub_per_atom=0.17 vol_a3_per_fu=66.1 e_above_lowest_polymorph_mev_per_atom=724.7 pbc="T T T"
W 4.814 4.814 4.814
U 0.000 0.000 0.000
Al 1.605 1.605 1.605

=====

8
Lattice="5.597 -3.541 0.000 5.597 3.541 0.000 -4.455 0.000 5.800" Properties=species:S:1:pos:R:3 comment="BaSiAg2Te2S2 | OQMD | PBE | optimized geometry" sg="C2 (5)" vol_a3_per_fu=229.9 e_above_lowest_polymorph_mev_per_atom=10.5 pbc="T T T"
Ag 7.661 0.038 1.892
Ag -0.921 0.038 3.908
Te 3.250 1.319 0.895
Te 3.490 1.319 4.905
S 1.558 -1.369 3.083
S 5.182 -1.369 2.717
Ba 5.597 -3.272 0.000
Si 3.370 -0.247 2.900

=====

12
Lattice="7.735 0.000 0.000 0.000 3.785 0.000 -2.591 0.000 8.848" Properties=species:S:1:pos:R:3 comment="NaScZnS3 | OQMD | PBE | optimized geometry" sg="P2_1/m (11)" m_tot_mub_per_atom=0.00 vol_a3_per_fu=129.5 e_above_lowest_polymorph_mev_per_atom=0.0 pbc="T T T"
S 3.466 0.946 8.465
S 5.331 2.839 5.688
S -0.187 0.946 3.160
S 1.774 2.839 5.728
S 1.679 2.839 0.383
S 3.371 0.946 3.119
Na 5.402 2.839 2.498
Na -0.258 0.946 6.349
Sc 1.615 2.839 3.190
Sc 3.530 0.946 5.658
Zn 4.750 2.839 7.909
Zn 0.395 0.946 0.938

=====

36
Lattice="-6.678 5.927 1.299 -6.877 -6.453 -5.914 -0.871 -1.582 2.740" Properties=species:S:1:pos:R:3 comment="Li2B6Mo | OQMD | PBE | optimized geometry" total_energy_ev_per_atom=-6.124 sg="Pbam (55)" m_tot_mub_per_atom=0.00 vol_a3_per_fu=82.4 pbc="T T T"
Li -7.228 4.759 0.450
Li -6.327 -5.285 -5.064
Li -5.514 0.271 -1.597
Li -8.347 2.253 -1.353
Li -5.209 -2.780 -3.262
Li -8.042 -0.797 -3.018
Li -2.800 1.361 -0.104
Li -10.755 -1.888 -4.510
B -13.164 -1.719 -3.213
B -5.083 0.667 0.734
B -9.343 -2.776 -2.609
B -4.543 2.080 1.722
B -7.569 -2.946 -2.143
B -6.750 -1.798 -1.220
B -8.358 -5.367 -3.792
B -5.128 -1.955 -0.795
B -7.456 2.415 0.989
B -2.498 -1.168 0.496
B -6.858 0.838 0.269
B -6.971 -4.524 -2.864
B -6.069 3.259 1.918
B -10.632 1.206 -0.719
B -9.298 -0.153 -1.080
B -11.928 -0.940 -2.371
B -4.243 -0.666 0.231
B -10.184 -1.442 -2.106
B -9.884 -4.188 -3.596
B -1.263 -0.389 1.339
B -8.940 3.145 0.939
B -7.676 -0.311 -0.655
B -3.794 -3.315 -1.156
B -5.487 -5.253 -2.813
Mo -3.194 -1.185 -1.700
Mo -5.568 2.683 -0.221
Mo -7.987 -3.209 -4.393
Mo -10.362 0.659 -2.914

=====

3
Lattice="-2.898 -3.218 1.499 -3.232 -1.654 -2.796 0.318 -4.288 -1.586" Properties=species:S:1:pos:R:3 comment="ThBePd | OQMD | PBE | optimized geometry" sg="F-43m (216)" m_tot_mub_per_atom=0.08 vol_a3_per_fu=68.0 e_above_lowest_polymorph_mev_per_atom=0.0 pbc="T T T"
Th -4.360 -6.870 -2.163
Be -1.453 -2.290 -0.721
Pd 0.000 0.000 0.000

=====

3
Lattice="0.000 3.501 3.501 3.501 0.000 3.501 3.501 3.501 0.000" Properties=species:S:1:pos:R:3 comment="KCdPd | OQMD | PBE | optimized geometry" sg="F-43m (216)" vol_a3_per_fu=85.8 e_above_lowest_polymorph_mev_per_atom=0.0 pbc="T T T"
Pd 0.000 0.000 0.000
K 5.251 5.251 5.251
Cd 1.750 1.750 1.750

=====

3
Lattice="-3.529 -0.277 2.421 -3.855 0.710 -1.740 -2.733 -3.258 -0.558" Properties=species:S:1:pos:R:3 comment="TaZnTc | OQMD | PBE | optimized geometry" sg="F-43m (216)" formation_enthalpy_0k_ev_per_fu=1.35 m_tot_mub_per_atom=0.00 vol_a3_per_fu=55.8 e_above_lowest_polymorph_mev_per_atom=0.0 pbc="T T T"
Tc -2.529 -0.706 0.031
Zn -5.059 -1.413 0.061
Ta 0.000 0.000 0.000

=====

2
Lattice="0.000 2.783 2.783 2.783 0.000 2.783 2.783 2.783 0.000" Properties=species:S:1:pos:R:3 comment="NdB | OQMD | PBE | optimized geometry" sg="Fm-3m (225)" m_tot_mub_per_atom=0.51 vol_a3_per_fu=43.1 e_above_lowest_polymorph_mev_per_atom=124.0 pbc="T T T"
B 0.000 0.000 0.000
Nd 2.783 2.783 2.783